[1]
# BaCuSe2O6 (GGA-PBEsol, relaxed)
# uncorrected formation energy = -12.86 eV/f.u.
# magnetization = 3.98 μB per cell
# volume = 622.7 Å³ per cell
# offset from the most stable computed form = 1.4 kJ/mol of atoms
data_BaCuSe2O6
_chemical_formula_sum 'Ba4 Cu4 Se8 O24'
_symmetry_space_group_name_H-M 'P m n 21'
_symmetry_Int_Tables_number 31
_symmetry_space_group_name_Hall 'P 2ac -2'
_cell_length_a 13.295
_cell_length_b 5.262
_cell_length_c 8.901
_cell_angle_alpha 90.00
_cell_angle_beta 90.00
_cell_angle_gamma 90.00
loop_
_atom_site_label
_atom_site_fract_x
_atom_site_fract_y
_atom_site_fract_z
Ba1 0.202 0.002 0.000
Cu1 0.132 0.547 0.291
Se1 0.000 0.083 0.406
Se2 0.000 0.473 0.974
Se3 0.139 0.494 0.665
O1 0.000 0.151 0.972
O2 0.000 0.412 0.346
O3 0.104 0.975 0.315
O4 0.106 0.550 0.078
O5 0.169 0.795 0.712
O6 0.187 0.466 0.485
O7 0.232 0.312 0.751

[2]
# BaCuSi2O6 (GGA-PBEsol, relaxed)
# uncorrected formation energy = -24.44 eV/f.u.
# magnetization = 4.01 μB per cell
# volume = 553.5 Å³ per cell
# offset from the most stable computed form = 0.9 kJ/mol of atoms
data_BaCuSi2O6
_chemical_formula_sum 'Ba4 Cu4 Si8 O24'
_symmetry_space_group_name_H-M 'I 4/m m m'
_symmetry_Int_Tables_number 139
_symmetry_space_group_name_Hall '-I 4 2'
_cell_length_a 7.114
_cell_length_b 7.114
_cell_length_c 10.936
_cell_angle_alpha 90.00
_cell_angle_beta 90.00
_cell_angle_gamma 90.00
loop_
_atom_site_label
_atom_site_fract_x
_atom_site_fract_y
_atom_site_fract_z
Ba1 0.000 0.500 0.250
Cu1 0.000 0.000 0.123
Si1 0.228 0.228 0.500
O1 0.000 0.267 0.500
O2 0.191 0.191 0.128

[3]
# Ba2CuSi2O7 (GGA-PBEsol, relaxed)
# uncorrected formation energy = -30.67 eV/f.u.
# magnetization = 1.96 μB per cell
# volume = 365.0 Å³ per cell
# offset from the most stable computed form = 0.0 kJ/mol of atoms
data_Ba2CuSi2O7
_chemical_formula_sum 'Ba4 Cu2 Si4 O14'
_symmetry_space_group_name_H-M 'P -4 21 m'
_symmetry_Int_Tables_number 113
_symmetry_space_group_name_Hall 'P -4 2ab'
_cell_length_a 8.328
_cell_length_b 8.328
_cell_length_c 5.262
_cell_angle_alpha 90.00
_cell_angle_beta 90.00
_cell_angle_gamma 90.00
loop_
_atom_site_label
_atom_site_fract_x
_atom_site_fract_y
_atom_site_fract_z
Ba1 0.167 0.333 0.008
Cu1 0.000 0.000 0.500
Si1 0.135 0.635 0.523
O1 0.000 0.500 0.631
O2 0.079 0.804 0.656
O3 0.133 0.633 0.217

[4]
# BaCuSi2O6 (GGA-PBEsol, relaxed)
# uncorrected formation energy = -24.53 eV/f.u.
# magnetization = 16.01 μB per cell
# volume = 2238.2 Å³ per cell
# offset from the most stable computed form = 0.0 kJ/mol of atoms
data_BaCuSi2O6
_chemical_formula_sum 'Ba16 Cu16 Si32 O96'
_symmetry_space_group_name_H-M 'I 41 c d'
_symmetry_Int_Tables_number 110
_symmetry_space_group_name_Hall 'I 4bw -2c'
_cell_length_a 9.955
_cell_length_b 9.955
_cell_length_c 22.584
_cell_angle_alpha 90.00
_cell_angle_beta 90.00
_cell_angle_gamma 90.00
loop_
_atom_site_label
_atom_site_fract_x
_atom_site_fract_y
_atom_site_fract_z
Ba1 0.235 0.250 0.000
Cu1 0.000 0.000 0.316
Cu2 0.000 0.000 0.433
Si1 0.002 0.225 0.624
Si2 0.002 0.275 0.375
O1 0.034 0.190 0.816
O2 0.035 0.310 0.183
O3 0.037 0.308 0.564
O4 0.039 0.192 0.435
O5 0.126 0.127 0.106
O6 0.128 0.371 0.893

[5]
# Ba2CuSi2O7 (GGA-PBEsol, relaxed)
# uncorrected formation energy = -30.53 eV/f.u.
# magnetization = 4.08 μB per cell
# volume = 716.1 Å³ per cell
# offset from the most stable computed form = 1.1 kJ/mol of atoms
data_Ba2CuSi2O7
_chemical_formula_sum 'Ba8 Cu4 Si8 O28'
_symmetry_space_group_name_H-M 'C 1 2/c 1'
_symmetry_Int_Tables_number 15
_symmetry_space_group_name_Hall '-C 2yc'
_cell_length_a 8.631
_cell_length_b 10.399
_cell_length_c 8.470
_cell_angle_alpha 90.00
_cell_angle_beta 109.60
_cell_angle_gamma 90.00
loop_
_atom_site_label
_atom_site_fract_x
_atom_site_fract_y
_atom_site_fract_z
Ba1 0.230 0.043 0.469
Cu1 0.000 0.258 0.750
Si1 0.116 0.267 0.143
O1 0.000 0.328 0.250
O2 0.051 0.344 0.964
O3 0.100 0.113 0.133
O4 0.201 0.181 0.744

[6]
# Ba2Sm2Ti2Cu2O11 (GGA-PBEsol, relaxed)
# uncorrected formation energy = -50.92 eV/f.u.
# magnetization = 0.00 μB per cell
# volume = 235.4 Å³ per cell
data_Ba2Sm2Ti2Cu2O11
_chemical_formula_sum 'Ba2 Sm2 Ti2 Cu2 O11'
_symmetry_space_group_name_H-M 'P 4/m m m'
_symmetry_Int_Tables_number 123
_symmetry_space_group_name_Hall '-P 4 2'
_cell_length_a 3.876
_cell_length_b 3.876
_cell_length_c 15.664
_cell_angle_alpha 90.00
_cell_angle_beta 90.00
_cell_angle_gamma 90.00
loop_
_atom_site_label
_atom_site_fract_x
_atom_site_fract_y
_atom_site_fract_z
Ba1 0.000 0.000 0.232
Sm1 0.000 0.000 0.000
Sm2 0.000 0.000 0.500
Ti1 0.500 0.500 0.374
Cu1 0.500 0.500 0.104
O1 0.000 0.500 0.094
O2 0.000 0.500 0.388
O3 0.500 0.500 0.256
O4 0.500 0.500 0.500

[7]
# Ba4Cu3SnO9 (GGA-PBEsol, relaxed)
# uncorrected formation energy = -30.53 eV/f.u.
# magnetization = 0.00 μB per cell
# volume = 504.0 Å³ per cell
data_Ba4Cu3SnO9
_chemical_formula_sum 'Ba8 Cu6 Sn2 O18'
_symmetry_space_group_name_H-M 'P m -3 n'
_symmetry_Int_Tables_number 223
_symmetry_space_group_name_Hall '-P 4n 2 3'
_cell_length_a 7.958
_cell_length_b 7.958
_cell_length_c 7.958
_cell_angle_alpha 90.00
_cell_angle_beta 90.00
_cell_angle_gamma 90.00
loop_
_atom_site_label
_atom_site_fract_x
_atom_site_fract_y
_atom_site_fract_z
Ba1 0.250 0.250 0.250
Cu1 0.000 0.000 0.500
Sn1 0.000 0.000 0.000
O1 0.000 0.000 0.262
O2 0.000 0.250 0.500

[8]
# Ba3SrCu4O12 (GGA-PBEsol, relaxed)
# uncorrected formation energy = -26.22 eV/f.u.
# magnetization = 2.31 μB per cell
# volume = 239.9 Å³ per cell
data_Ba3SrCu4O12
_chemical_formula_sum 'Ba3 Sr1 Cu4 O12'
_symmetry_space_group_name_H-M 'P 4/m m m'
_symmetry_Int_Tables_number 123
_symmetry_space_group_name_Hall '-P 4 2'
_cell_length_a 7.828
_cell_length_b 7.828
_cell_length_c 3.915
_cell_angle_alpha 90.00
_cell_angle_beta 90.00
_cell_angle_gamma 90.00
loop_
_atom_site_label
_atom_site_fract_x
_atom_site_fract_y
_atom_site_fract_z
Ba1 0.000 0.000 0.000
Ba2 0.000 0.500 0.000
Sr1 0.500 0.500 0.000
Cu1 0.250 0.250 0.500
O1 0.000 0.252 0.500
O2 0.258 0.258 0.000
O3 0.262 0.500 0.500

[9]
# BaSrCu2O4 (GGA-PBEsol, relaxed)
# uncorrected formation energy = -13.42 eV/f.u.
# magnetization = 0.00 μB per cell
# volume = 111.1 Å³ per cell
data_BaSrCu2O4
_chemical_formula_sum 'Ba1 Sr1 Cu2 O4'
_symmetry_space_group_name_H-M 'P 4/m m m'
_symmetry_Int_Tables_number 123
_symmetry_space_group_name_Hall '-P 4 2'
_cell_length_a 3.917
_cell_length_b 3.917
_cell_length_c 7.240
_cell_angle_alpha 90.00
_cell_angle_beta 90.00
_cell_angle_gamma 90.00
loop_
_atom_site_label
_atom_site_fract_x
_atom_site_fract_y
_atom_site_fract_z
Ba1 0.000 0.000 0.000
Sr1 0.000 0.000 0.500
Cu1 0.500 0.500 0.271
O1 0.000 0.500 0.267

[10]
# Ba7SrCu8O24 (GGA-PBEsol, relaxed)
# uncorrected formation energy = -51.97 eV/f.u.
# magnetization = 5.17 μB per cell
# volume = 485.0 Å³ per cell
data_Ba7SrCu8O24
_chemical_formula_sum 'Ba7 Sr1 Cu8 O24'
_symmetry_space_group_name_H-M 'P m -3 m'
_symmetry_Int_Tables_number 221
_symmetry_space_group_name_Hall '-P 4 2 3'
_cell_length_a 7.857
_cell_length_b 7.857
_cell_length_c 7.857
_cell_angle_alpha 90.00
_cell_angle_beta 90.00
_cell_angle_gamma 90.00
loop_
_atom_site_label
_atom_site_fract_x
_atom_site_fract_y
_atom_site_fract_z
Ba1 0.000 0.000 0.000
Ba2 0.000 0.000 0.500
Ba3 0.000 0.500 0.500
Sr1 0.500 0.500 0.500
Cu1 0.250 0.250 0.250
O1 0.000 0.251 0.251
O2 0.256 0.256 0.500

[11]
# BaSrYCu4O8 (GGA-PBEsol, relaxed)
# uncorrected formation energy = -25.69 eV/f.u.
# magnetization = 0.00 μB per cell
# volume = 384.6 Å³ per cell
data_BaSrYCu4O8
_chemical_formula_sum 'Ba2 Sr2 Y2 Cu8 O16'
_symmetry_space_group_name_H-M 'A m m 2'
_symmetry_Int_Tables_number 38
_symmetry_space_group_name_Hall 'A 2 -2'
_cell_length_a 3.771
_cell_length_b 3.842
_cell_length_c 26.553
_cell_angle_alpha 90.00
_cell_angle_beta 90.00
_cell_angle_gamma 90.00
loop_
_atom_site_label
_atom_site_fract_x
_atom_site_fract_y
_atom_site_fract_z
Ba1 0.000 0.000 0.000
Sr1 0.000 0.000 0.271
Y1 0.000 0.000 0.138
Cu1 0.500 0.000 0.422
Cu2 0.500 0.000 0.575
Cu3 0.500 0.000 0.700
Cu4 0.500 0.000 0.847
O1 0.000 0.000 0.585
O2 0.000 0.000 0.691
O3 0.500 0.000 0.085
O4 0.500 0.000 0.192
O5 0.500 0.000 0.351
O6 0.500 0.000 0.491
O7 0.500 0.000 0.778
O8 0.500 0.000 0.917

[12]
# Ba2Sr2Y2Cu6O13 (GGA-PBEsol, relaxed)
# uncorrected formation energy = -47.39 eV/f.u.
# magnetization = 0.00 μB per cell
# volume = 1336.2 Å³ per cell
data_Ba2Sr2Y2Cu6O13
_chemical_formula_sum 'Ba8 Sr8 Y8 Cu24 O52'
_symmetry_space_group_name_H-M 'F m m 2'
_symmetry_Int_Tables_number 42
_symmetry_space_group_name_Hall 'F 2 -2'
_cell_length_a 7.541
_cell_length_b 7.689
_cell_length_c 23.047
_cell_angle_alpha 90.00
_cell_angle_beta 90.00
_cell_angle_gamma 90.00
loop_
_atom_site_label
_atom_site_fract_x
_atom_site_fract_y
_atom_site_fract_z
Ba1 0.243 0.000 0.000
Sr1 0.243 0.000 0.192
Y1 0.250 0.000 0.342
Cu1 0.000 0.244 0.098
Cu2 0.000 0.248 0.770
Cu3 0.000 0.249 0.412
O1 0.000 0.000 0.107
O2 0.000 0.000 0.277
O3 0.000 0.000 0.403
O4 0.000 0.000 0.782
O5 0.000 0.000 0.906
O6 0.000 0.218 0.675
O7 0.000 0.233 0.520
O8 0.250 0.250 0.280
O9 0.250 0.250 0.404